A plane-wave DFT calculation with PBE-GGA was carried out for a geometry-optimized Fe2NiMo structure. Values from VASP.

Summary:
symmetry = Pmmm, No. 47
DOS(E_F) = 4.37 states/eV per cell
total magnetic moment = 3.344 μB per cell
V = 49.0 Å³/cell
calculated formation energy = 0.12 eV/atom

Quantum ESPRESSO input file:
```
&SYSTEM
  ibrav = 0, nat = 4, ntyp = 3
/
ATOMIC_SPECIES
Fe 55.84 Fe.upf
Mo 95.94 Mo.upf
Ni 58.69 Ni.upf
ATOMIC_POSITIONS crystal
Fe 0.000 0.000 0.981
Fe 0.000 0.000 0.519
Mo 0.500 0.500 0.250
Ni 0.500 0.500 0.750
CELL_PARAMETERS angstrom
-0.466 -0.037 -2.569
3.507 -0.429 -0.630
-0.601 -5.186 0.183
```



A plane-wave DFT calculation with PBE-GGA was carried out for a geometry-optimized FeNi3Mo structure. Values from VASP.

Summary:
symmetry = Cmcm, No. 63
DOS(E_F) = 11.64 states/eV per cell
total magnetic moment = 5.683 μB per cell
excess energy over the best structure of this formula in the dataset = 0 meV per atom
V = 128.8 Å³/cell
calculated formation energy = 0.28 eV/atom

Quantum ESPRESSO input file:
```
&SYSTEM
  ibrav = 0, nat = 10, ntyp = 3
/
ATOMIC_SPECIES
Fe 55.84 Fe.upf
Ni 58.69 Ni.upf
Mo 95.94 Mo.upf
ATOMIC_POSITIONS crystal
Fe 0.750 0.442 0.884
Fe 0.250 0.558 0.116
Ni 0.750 0.886 0.282
Ni 0.750 0.396 0.282
Ni 0.250 0.604 0.718
Ni 0.250 0.114 0.718
Ni 0.000 0.000 0.000
Ni 0.500 0.000 0.000
Mo 0.750 0.813 0.625
Mo 0.250 0.187 0.375
CELL_PARAMETERS angstrom
4.437 0.000 0.000
0.000 4.080 -2.164
0.000 0.907 6.636
```